No. 1
{
  "formula": "ErVN3",
  "functional": "GGA-PBE",
  "state": "relaxed",
  "dft_energy_ev_per_cell": -85.9,
  "raw_formation_energy_ev_per_atom": -0.856,
  "space_group": "P2_1/m, No. 11",
  "magnetic_moment_mub_per_atom": 0.000,
  "lattice_angstrom": [[5.5184, 0.0000, 0.0000], [0.0000, 3.5581, 0.0000], [-2.7147, 0.0000, 7.3595]],
  "species": ["Er", "Er", "V", "V", "N", "N", "N", "N", "N", "N"],
  "frac_coords": [[0.2331, 0.2500, 0.1871], [0.7669, 0.7500, 0.8129], [0.1563, 0.2500, 0.6737], [0.8437, 0.7500, 0.3263], [0.0068, 0.7500, 0.6172], [0.0790, 0.2500, 0.8806], [0.4872, 0.2500, 0.7332], [0.5128, 0.7500, 0.2668], [0.9210, 0.7500, 0.1194], [0.9932, 0.2500, 0.3828]]
}

No. 2
{
  "formula": "ErVN",
  "functional": "GGA-PBE",
  "state": "relaxed",
  "dft_energy_ev_per_cell": -22.8,
  "raw_formation_energy_ev_per_atom": -0.260,
  "space_group": "I4mm, No. 107",
  "relative_energy_mev_per_atom": 413,
  "magnetic_moment_mub_per_atom": 0.000,
  "lattice_angstrom": [[-1.4421, 1.4421, 5.0569], [1.4421, -1.4421, 5.0569], [1.4421, 1.4421, -5.0569]],
  "species": ["Er", "V", "N"],
  "frac_coords": [[0.0000, 0.0000, 0.0000], [0.2918, 0.2918, 0.0000], [0.7413, 0.7413, 0.0000]]
}

No. 3
{
  "formula": "Er2WN4",
  "functional": "GGA-PBE",
  "state": "relaxed",
  "dft_energy_ev_per_cell": -126.5,
  "raw_formation_energy_ev_per_atom": -1.125,
  "space_group": "P2_1/m, No. 11",
  "relative_energy_mev_per_atom": 0,
  "magnetic_moment_mub_per_atom": 0.000,
  "lattice_angstrom": [[5.7645, 0.0000, 0.0000], [0.0000, 5.9486, 0.0000], [-1.9665, 0.0000, 6.1842]],
  "species": ["Er", "Er", "Er", "Er", "W", "W", "N", "N", "N", "N", "N", "N", "N", "N"],
  "frac_coords": [[0.1657, 0.2500, 0.0255], [0.2441, 0.2500, 0.5575], [0.7559, 0.7500, 0.4425], [0.8343, 0.7500, 0.9745], [0.2853, 0.7500, 0.8132], [0.7147, 0.2500, 0.1868], [0.0514, 0.5106, 0.7526], [0.0514, 0.9894, 0.7526], [0.4779, 0.7500, 0.0967], [0.4986, 0.2500, 0.3483], [0.5014, 0.7500, 0.6517], [0.5221, 0.2500, 0.9033], [0.9486, 0.0106, 0.2474], [0.9486, 0.4894, 0.2474]]
}

No. 4
{
  "formula": "ErW2N4",
  "functional": "GGA-PBE",
  "state": "relaxed",
  "dft_energy_ev_per_cell": -138.1,
  "raw_formation_energy_ev_per_atom": -0.753,
  "space_group": "Cmcm, No. 63",
  "magnetic_moment_mub_per_atom": 0.000,
  "lattice_angstrom": [[1.5586, -5.0051, 0.0000], [1.5586, 5.0051, 0.0000], [0.0000, 0.0000, 10.2243]],
  "species": ["Er", "Er", "W", "W", "W", "W", "N", "N", "N", "N", "N", "N", "N", "N"],
  "frac_coords": [[0.1275, 0.8725, 0.7500], [0.8725, 0.1275, 0.2500], [0.3820, 0.6180, 0.5655], [0.3820, 0.6180, 0.9345], [0.6180, 0.3820, 0.0655], [0.6180, 0.3820, 0.4345], [0.0000, 0.0000, 0.0000], [0.0000, 0.0000, 0.5000], [0.2656, 0.7344, 0.1085], [0.2656, 0.7344, 0.3915], [0.4395, 0.5605, 0.7500], [0.5605, 0.4395, 0.2500], [0.7344, 0.2656, 0.6085], [0.7344, 0.2656, 0.8915]]
}

No. 5
{
  "formula": "ErWN3",
  "functional": "GGA-PBE",
  "state": "relaxed",
  "dft_energy_ev_per_cell": -190.4,
  "raw_formation_energy_ev_per_atom": -1.021,
  "space_group": "C2/c, No. 15",
  "magnetic_moment_mub_per_atom": 0.000,
  "lattice_angstrom": [[5.5977, -4.7876, 0.0000], [5.5977, 4.7876, 0.0000], [-2.4106, 0.0000, 5.7832]],
  "species": ["Er", "Er", "Er", "Er", "W", "W", "W", "W", "N", "N", "N", "N", "N", "N", "N", "N", "N", "N", "N", "N"],
  "frac_coords": [[0.0903, 0.9097, 0.7500], [0.2845, 0.7155, 0.2500], [0.7155, 0.2845, 0.7500], [0.9097, 0.0903, 0.2500], [0.2012, 0.3798, 0.7788], [0.3798, 0.2012, 0.2788], [0.6202, 0.7988, 0.7212], [0.7988, 0.6202, 0.2212], [0.0017, 0.2176, 0.6549], [0.1141, 0.6270, 0.8371], [0.2176, 0.0017, 0.1549], [0.3378, 0.3732, 0.0830], [0.3732, 0.3378, 0.5830], [0.3730, 0.8859, 0.6629], [0.6270, 0.1141, 0.3371], [0.6268, 0.6622, 0.4170], [0.6622, 0.6268, 0.9170], [0.7824, 0.9983, 0.8451], [0.8859, 0.3730, 0.1629], [0.9983, 0.7824, 0.3451]]
}

No. 6
{
  "formula": "Er3W5N12",
  "functional": "GGA-PBE",
  "state": "relaxed",
  "dft_energy_ev_per_cell": -776.9,
  "raw_formation_energy_ev_per_atom": -0.793,
  "space_group": "Ia-3d, No. 230",
  "magnetic_moment_mub_per_atom": 0.000,
  "lattice_angstrom": [[-6.3727, 6.3727, 6.3727], [6.3727, -6.3727, 6.3727], [6.3727, 6.3727, -6.3727]],
  "species": ["Er", "Er", "Er", "Er", "Er", "Er", "Er", "Er", "Er", "Er", "Er", "Er", "W", "W", "W", "W", "W", "W", "W", "W", "W", "W", "W", "W", "W", "W", "W", "W", "W", "W", "W", "W", "N", "N", "N", "N", "N", "N", "N", "N", "N", "N", "N", "N", "N", "N", "N", "N", "N", "N", "N", "N", "N", "N", "N", "N", "N", "N", "N", "N", "N", "N", "N", "N", "N", "N", "N", "N", "N", "N", "N", "N", "N", "N", "N", "N", "N", "N", "N", "N"],
  "frac_coords": [[0.1250, 0.2500, 0.3750], [0.1250, 0.3750, 0.7500], [0.2500, 0.3750, 0.1250], [0.2500, 0.8750, 0.6250], [0.3750, 0.1250, 0.2500], [0.3750, 0.7500, 0.1250], [0.6250, 0.2500, 0.8750], [0.6250, 0.8750, 0.7500], [0.7500, 0.1250, 0.3750], [0.7500, 0.6250, 0.8750], [0.8750, 0.6250, 0.2500], [0.8750, 0.7500, 0.6250], [0.0000, 0.0000, 0.0000], [0.0000, 0.0000, 0.5000], [0.0000, 0.5000, 0.0000], [0.0000, 0.5000, 0.5000], [0.1250, 0.7500, 0.8750], [0.1250, 0.8750, 0.2500], [0.2500, 0.1250, 0.8750], [0.2500, 0.6250, 0.3750], [0.3750, 0.2500, 0.6250], [0.3750, 0.6250, 0.7500], [0.5000, 0.0000, 0.0000], [0.5000, 0.0000, 0.5000], [0.5000, 0.5000, 0.0000], [0.5000, 0.5000, 0.5000], [0.6250, 0.3750, 0.2500], [0.6250, 0.7500, 0.3750], [0.7500, 0.3750, 0.6250], [0.7500, 0.8750, 0.1250], [0.8750, 0.1250, 0.7500], [0.8750, 0.2500, 0.1250], [0.0221, 0.2024, 0.1178], [0.0221, 0.3197, 0.9043], [0.0846, 0.7024, 0.6803], [0.0846, 0.8822, 0.4043], [0.0957, 0.6178, 0.4154], [0.0957, 0.9779, 0.6803], [0.1178, 0.0221, 0.2024], [0.1178, 0.5957, 0.9154], [0.1803, 0.2024, 0.5846], [0.1803, 0.4779, 0.5957], [0.2024, 0.1178, 0.0221], [0.2024, 0.5846, 0.1803], [0.2976, 0.3197, 0.9154], [0.2976, 0.4779, 0.3822], [0.3197, 0.9043, 0.0221], [0.3197, 0.9154, 0.2976], [0.3822, 0.2976, 0.4779], [0.3822, 0.5846, 0.9043], [0.4043, 0.0846, 0.8822], [0.4043, 0.8197, 0.5221], [0.4154, 0.0957, 0.6178], [0.4154, 0.8197, 0.7976], [0.4779, 0.3822, 0.2976], [0.4779, 0.5957, 0.1803], [0.5221, 0.4043, 0.8197], [0.5221, 0.6178, 0.7024], [0.5846, 0.1803, 0.2024], [0.5846, 0.9043, 0.3822], [0.5957, 0.1803, 0.4779], [0.5957, 0.9154, 0.1178], [0.6178, 0.4154, 0.0957], [0.6178, 0.7024, 0.5221], [0.6803, 0.0846, 0.7024], [0.6803, 0.0957, 0.9779], [0.7024, 0.5221, 0.6178], [0.7024, 0.6803, 0.0846], [0.7976, 0.4154, 0.8197], [0.7976, 0.8822, 0.9779], [0.8197, 0.5221, 0.4043], [0.8197, 0.7976, 0.4154], [0.8822, 0.4043, 0.0846], [0.8822, 0.9779, 0.7976], [0.9043, 0.0221, 0.3197], [0.9043, 0.3822, 0.5846], [0.9154, 0.1178, 0.5957], [0.9154, 0.2976, 0.3197], [0.9779, 0.6803, 0.0957], [0.9779, 0.7976, 0.8822]]
}

No. 7
{
  "formula": "Er2WN4",
  "functional": "GGA-PBE",
  "state": "relaxed",
  "dft_energy_ev_per_cell": -126.5,
  "raw_formation_energy_ev_per_atom": -1.123,
  "space_group": "Fd-3m, No. 227",
  "relative_energy_mev_per_atom": 2,
  "magnetic_moment_mub_per_atom": 0.000,
  "lattice_angstrom": [[0.0000, 4.6194, 4.6194], [4.6194, 0.0000, 4.6194], [4.6194, 4.6194, 0.0000]],
  "species": ["Er", "Er", "Er", "Er", "W", "W", "N", "N", "N", "N", "N", "N", "N", "N"],
  "frac_coords": [[0.0000, 0.0000, 0.0000], [0.0000, 0.0000, 0.5000], [0.0000, 0.5000, 0.0000], [0.5000, 0.0000, 0.0000], [0.3750, 0.3750, 0.3750], [0.6250, 0.6250, 0.6250], [0.2554, 0.2554, 0.2554], [0.2554, 0.2554, 0.7338], [0.2554, 0.7338, 0.2554], [0.2662, 0.7446, 0.7446], [0.7338, 0.2554, 0.2554], [0.7446, 0.2662, 0.7446], [0.7446, 0.7446, 0.2662], [0.7446, 0.7446, 0.7446]]
}

No. 8
{
  "formula": "YEr5N6",
  "functional": "GGA-PBE",
  "state": "relaxed",
  "dft_energy_ev_per_cell": -100.5,
  "raw_formation_energy_ev_per_atom": -1.769,
  "space_group": "C2/m, No. 12",
  "magnetic_moment_mub_per_atom": 0.000,
  "lattice_angstrom": [[2.9754, -5.1544, 0.0000], [2.9754, 5.1544, 0.0000], [-1.9826, 0.0000, 5.6110]],
  "species": ["Y", "Er", "Er", "Er", "Er", "Er", "N", "N", "N", "N", "N", "N"],
  "frac_coords": [[0.0000, 0.0000, 0.0000], [0.1669, 0.8331, 0.5000], [0.3333, 0.6667, 0.0000], [0.5000, 0.5000, 0.5000], [0.6667, 0.3333, 0.0000], [0.8331, 0.1669, 0.5000], [0.0837, 0.4192, 0.2511], [0.2518, 0.2518, 0.7487], [0.4192, 0.0837, 0.2511], [0.5808, 0.9163, 0.7489], [0.7482, 0.7482, 0.2513], [0.9163, 0.5808, 0.7489]]
}

No. 9
{
  "formula": "YErN",
  "functional": "GGA-PBE",
  "state": "relaxed",
  "dft_energy_ev_per_cell": -45.3,
  "raw_formation_energy_ev_per_atom": -1.106,
  "space_group": "P-6m2, No. 187",
  "relative_energy_mev_per_atom": 0,
  "magnetic_moment_mub_per_atom": 0.109,
  "lattice_angstrom": [[3.4823, 0.0000, 0.0000], [-1.7411, 3.0157, 0.0000], [0.0000, 0.0000, 11.7231]],
  "species": ["Y", "Y", "Er", "Er", "N", "N"],
  "frac_coords": [[0.0000, 0.0000, 0.0000], [0.3333, 0.6667, 0.5000], [0.6667, 0.3333, 0.2316], [0.6667, 0.3333, 0.7684], [0.3333, 0.6667, 0.1329], [0.3333, 0.6667, 0.8671]]
}

No. 10
{
  "formula": "Y2Er2N3",
  "functional": "GGA-PBE",
  "state": "relaxed",
  "dft_energy_ev_per_cell": -57.4,
  "raw_formation_energy_ev_per_atom": -1.475,
  "space_group": "C2/m, No. 12",
  "magnetic_moment_mub_per_atom": 0.000,
  "lattice_angstrom": [[5.7640, -1.7348, 0.0000], [5.7640, 1.7348, 0.0000], [-1.0536, 0.0000, 5.9394]],
  "species": ["Y", "Y", "Er", "Er", "N", "N", "N"],
  "frac_coords": [[0.1327, 0.1327, 0.3662], [0.8673, 0.8673, 0.6338], [0.3740, 0.3740, 0.1119], [0.6260, 0.6260, 0.8881], [0.0000, 0.0000, 0.0000], [0.2516, 0.2516, 0.7538], [0.7484, 0.7484, 0.2462]]
}

No. 11
{
  "formula": "Y5ErN6",
  "functional": "GGA-PBE",
  "state": "relaxed",
  "dft_energy_ev_per_cell": -107.3,
  "raw_formation_energy_ev_per_atom": -1.708,
  "space_group": "C2/m, No. 12",
  "magnetic_moment_mub_per_atom": 0.000,
  "lattice_angstrom": [[3.0048, -5.2051, 0.0000], [3.0048, 5.2051, 0.0000], [-2.0027, 0.0000, 5.6663]],
  "species": ["Y", "Y", "Y", "Y", "Y", "Er", "N", "N", "N", "N", "N", "N"],
  "frac_coords": [[0.0000, 0.0000, 0.0000], [0.1667, 0.8333, 0.5000], [0.3336, 0.6664, 0.0000], [0.6664, 0.3336, 0.0000], [0.8333, 0.1667, 0.5000], [0.5000, 0.5000, 0.5000], [0.0859, 0.4171, 0.2512], [0.2517, 0.2517, 0.7486], [0.4171, 0.0859, 0.2512], [0.5829, 0.9141, 0.7488], [0.7483, 0.7483, 0.2514], [0.9141, 0.5829, 0.7488]]
}

No. 12
{
  "formula": "Y3ErN",
  "functional": "GGA-PBE",
  "state": "relaxed",
  "dft_energy_ev_per_cell": -34.8,
  "raw_formation_energy_ev_per_atom": -0.513,
  "space_group": "Pm-3m, No. 221",
  "magnetic_moment_mub_per_atom": 0.001,
  "lattice_angstrom": [[4.9716, 0.0000, 0.0000], [0.0000, 4.9716, 0.0000], [0.0000, 0.0000, 4.9716]],
  "species": ["Y", "Y", "Y", "Er", "N"],
  "frac_coords": [[0.0000, 0.0000, 0.5000], [0.0000, 0.5000, 0.0000], [0.5000, 0.0000, 0.0000], [0.5000, 0.5000, 0.5000], [0.0000, 0.0000, 0.0000]]
}